PBE CdGaPtRh, optimized geometry; final energy = -75.06 eV/cell; formation energy = -0.358 eV/atom; N(E_F) = 2.91 states/eV/f.u.
1.0
6.3391 0.0000 0.0000
0.0000 6.3391 0.0000
0.0000 0.0000 6.3391
Cd Ga Pt Rh
4 4 4 4
Direct
0.0000 0.0000 0.0000
0.0000 0.5000 0.5000
0.5000 0.0000 0.5000
0.5000 0.5000 0.0000
0.0000 0.0000 0.5000
0.0000 0.5000 0.0000
0.5000 0.0000 0.0000
0.5000 0.5000 0.5000
0.2500 0.2500 0.7500
0.2500 0.7500 0.2500
0.7500 0.2500 0.2500
0.7500 0.7500 0.7500
0.2500 0.2500 0.2500
0.2500 0.7500 0.7500
0.7500 0.2500 0.7500
0.7500 0.7500 0.2500